Below is CsCo2RhF8 after structural relaxation, with properties calculated at the PBE with a Hubbard U level.

Values from the calculation:
**Spin magnetization**: 6.13 μB/f.u.
**Total DFT energy (no corrections)**: -4.76 eV per atom

Cell: 5.318 5.328 7.504 Å, 72.31 72.51 72.05°
Space group P-1 (No. 2)
Inequivalent atoms, fractional coordinates:
Cs  0.000  0.000  0.000
Co  0.444  0.444  0.236
Rh  0.000  0.000  0.500
F  0.188  0.708  0.697
F  0.242  0.239  0.474
F  0.291  0.809  0.306
F  0.354  0.347  0.031